No. 1
Computed, not measured: crystalline DyZrAgRh at its relaxed geometry at the PBE level of DFT.

```
4
Lattice="0.000 3.445 3.445 3.445 0.000 3.445 3.445 3.445 0.000" Properties=species:S:1:pos:R:3 pbc="T T T"
Dy 0.000 0.000 0.000
Zr 3.445 3.445 3.445
Ag 1.722 1.722 1.722
Rh 5.167 5.167 5.167
```

---

No. 2
Computed, not measured: crystalline LaPb2W at its relaxed geometry at the PBE level of DFT.

```
4
Lattice="3.217 -4.960 0.000 3.217 4.960 0.000 0.000 0.000 3.231" Properties=species:S:1:pos:R:3 pbc="T T T"
La 0.000 0.000 0.000
Pb 1.608 2.480 1.615
Pb 1.608 -2.480 1.615
W 3.217 0.000 0.000
```

Output
Energy relative to the lowest polymorph listed for this composition, meV/atom: 284

---

For the records above, the corresponding uncorrected energy values read -6.25 -5.67 eV per atom.
For the records above, the corresponding DOS at the Fermi energy values read 3.4 4.7 states/eV per cell.
For the records above, the corresponding M_tot values read 0.000 0.157 μB per cell.